Run 1
A plane-wave DFT calculation with GGA-PBE was carried out for MnAg3Mo after structural relaxation.

Values from the calculation:
Total magnetization, μB/f.u.: 8.1
Density of states at the Fermi level, states/eV per atom: 0.976
V, Å³/cell: 134

Cell lengths 5.1227, 5.1227, 5.1227 Å; angles 90.00, 90.00, 90.00 degrees
Closest atoms and distances in Å follow each position.
Space group Pm-3m (No. 221)
One atom of each set of equivalent atoms:
1 Mn 0.0000 0.0000 0.0000 [1 per cell]  12 Ag 3.62
2 Ag 0.0000 0.5000 0.5000 [3 per cell]  2 Mo 2.56
3 Mo 0.5000 0.5000 0.5000 [1 per cell]  6 Ag 2.56

---

Run 2
A plane-wave DFT calculation with GGA-PBE was carried out for MnAg3Mo after structural relaxation.

Values from the calculation:
Total magnetization, μB/f.u.: 0.0
Density of states at the Fermi level, states/eV per atom: 2.168
V, Å³/cell: 101

Cell lengths 4.6521, 4.6521, 4.6521 Å; angles 90.00, 90.00, 90.00 degrees
Closest atoms and distances in Å follow each position.
Space group Pm-3m (No. 221)
One atom of each set of equivalent atoms:
1 Mn 0.0000 0.0000 0.0000 [1 per cell]  6 Ag 2.33
2 Ag 0.0000 0.0000 0.5000 [3 per cell]  2 Mn 2.33
3 Mo 0.5000 0.5000 0.5000 [1 per cell]  12 Ag 3.29

---

The least stable of them is run 2.